Entry 1:
Compound: Li5Sm3Cl12
Source: Alexandria via LeMat-Bulk
Functional: GGA-PBE
Structure: optimized geometry

Unit cell a=13.217 b=13.217 c=13.217 alpha=109.47 beta=109.47 gamma=109.47
Atoms (fractional coordinates):
Sm1 0.750 0.375 0.125
Cl1 0.410 0.377 0.591
Li1 0.750 0.125 0.875
Cl2 0.623 0.033 0.214
Li2 0.000 0.000 0.000
Cl3 0.377 0.410 0.091
Cl4 0.533 0.214 0.123
Cl5 0.090 0.181 0.467
Cl6 0.910 0.091 0.877
Cl7 0.467 0.681 0.090
Cl8 0.090 0.909 0.123
Sm2 0.125 0.875 0.750
Li3 0.625 0.875 0.250
Cl9 0.967 0.590 0.181
Li4 0.250 0.875 0.125
Cl10 0.091 0.181 0.214
Li5 0.500 0.000 0.500
Cl11 0.590 0.967 0.681
Sm3 0.375 0.750 0.625
Li6 0.375 0.250 0.125
Cl12 0.410 0.033 0.319
Cl13 0.909 0.090 0.623
Cl14 0.590 0.623 0.409
Li7 0.000 0.000 0.500
Li8 0.625 0.750 0.875
Sm4 0.875 0.125 0.250
Cl15 0.819 0.909 0.286
Cl16 0.181 0.091 0.714
Cl17 0.286 0.409 0.819
Sm5 0.250 0.625 0.875
Cl18 0.033 0.623 0.714
Li9 0.875 0.250 0.625
Cl19 0.123 0.409 0.090
Cl20 0.591 0.877 0.410
Cl21 0.286 0.877 0.967
Cl22 0.467 0.786 0.877
Li10 0.500 0.500 0.500
Cl23 0.877 0.591 0.910
Li11 0.125 0.375 0.250
Cl24 0.319 0.786 0.409
Cl25 0.591 0.714 0.681
Li12 0.500 0.000 0.000
Sm6 0.125 0.250 0.875
Sm7 0.625 0.375 0.750
Cl26 0.623 0.590 0.909
Li13 0.500 0.500 0.000
Cl27 0.409 0.123 0.590
Sm8 0.250 0.125 0.375
Li14 0.375 0.125 0.750
Li15 0.000 0.500 0.500
Cl28 0.714 0.123 0.033
Cl29 0.533 0.319 0.910
Li16 0.750 0.625 0.375
Cl30 0.909 0.819 0.786
Cl31 0.123 0.714 0.533
Cl32 0.786 0.467 0.377
Cl33 0.319 0.533 0.410
Cl34 0.214 0.681 0.091
Cl35 0.409 0.286 0.319
Cl36 0.214 0.533 0.623
Li17 0.125 0.750 0.375
Sm9 0.875 0.750 0.125
Li18 0.250 0.375 0.625
Li19 0.000 0.500 0.000
Cl37 0.091 0.910 0.377
Sm10 0.625 0.250 0.375
Sm11 0.375 0.625 0.250
Cl38 0.786 0.319 0.909
Cl39 0.681 0.214 0.591
Cl40 0.181 0.090 0.967
Cl41 0.714 0.591 0.181
Cl42 0.377 0.967 0.786
Cl43 0.910 0.819 0.533
Cl44 0.877 0.286 0.467
Sm12 0.750 0.875 0.625
Cl45 0.681 0.467 0.590
Cl46 0.033 0.410 0.819
Cl47 0.819 0.910 0.033
Li20 0.875 0.625 0.750
Cl48 0.967 0.377 0.286

Results
Uncorrected formation energy   -1.90 eV per atom
Symmetry   Ia-3d, No. 230

***

Entry 2:
Compound: Tb2TmF8
Source: Alexandria via LeMat-Bulk
Functional: GGA-PBE
Structure: optimized geometry

Unit cell a=3.606 b=5.578 c=7.772 alpha=110.24 beta=103.41 gamma=90.00
Atoms (fractional coordinates):
Tm1 0.500 0.000 0.000
Tb1 0.824 0.322 0.647
F1 0.406 0.568 0.812
F2 0.594 0.432 0.188
F3 0.955 0.211 0.909
F4 0.678 0.958 0.356
F5 0.322 0.042 0.644
F6 0.224 0.330 0.448
Tb2 0.176 0.678 0.353
F7 0.776 0.670 0.552
F8 0.045 0.789 0.091

Results
Uncorrected formation energy   -3.85 eV per atom
Symmetry   C2/m, No. 12

***

Entry 3:
Compound: KCe2Cl11
Source: Alexandria via LeMat-Bulk
Functional: GGA-PBE
Structure: optimized geometry

Unit cell a=10.849 b=11.600 c=11.600 alpha=74.19 beta=62.12 gamma=62.12
Atoms (fractional coordinates):
Cl1 0.999 0.836 0.164
K1 0.250 0.250 0.250
Cl2 0.799 0.745 0.014
Ce1 0.750 0.250 0.750
Cl3 0.701 0.486 0.755
Cl4 0.441 0.746 0.013
Cl5 0.201 0.255 0.986
Cl6 0.501 0.336 0.664
Cl7 0.000 0.000 0.000
Cl8 0.057 0.755 0.486
Cl9 0.443 0.014 0.745
Cl10 0.200 0.987 0.254
Cl11 0.299 0.514 0.245
Ce2 0.250 0.750 0.250
K2 0.750 0.750 0.750
Cl12 0.800 0.013 0.746
Cl13 0.941 0.513 0.246
Cl14 0.559 0.254 0.987
Cl15 0.557 0.986 0.255
Cl16 0.001 0.164 0.836
Cl17 0.500 0.500 0.500
Cl18 0.943 0.245 0.514
Ce3 0.750 0.750 0.250
Cl19 0.499 0.664 0.336
Cl20 0.700 0.754 0.487
Cl21 0.059 0.487 0.754
Ce4 0.250 0.250 0.750
Cl22 0.300 0.246 0.513

Results
Uncorrected formation energy   -1.59 eV per atom
Symmetry   Ibam, No. 72

***

Entry 4:
Compound: Li2PmCoH8
Source: Alexandria via LeMat-Bulk
Functional: GGA-PBE
Structure: optimized geometry

Unit cell a=4.315 b=4.315 c=5.923 alpha=90.00 beta=90.00 gamma=120.00
Atoms (fractional coordinates):
Co1 0.000 0.000 0.000
H1 0.333 0.667 0.547
H2 0.835 0.165 0.847
H3 0.165 0.835 0.153
H4 0.670 0.835 0.153
H5 0.330 0.165 0.847
Li1 0.333 0.667 0.889
Li2 0.667 0.333 0.111
H6 0.835 0.670 0.847
H7 0.165 0.330 0.153
H8 0.667 0.333 0.453
Pm1 0.000 0.000 0.500

Results
Symmetry   P-3m1, No. 164

***

Entry 5:
Compound: Rb2SrNp3S8
Source: Alexandria via LeMat-Bulk
Functional: GGA-PBE
Structure: optimized geometry

Unit cell a=8.239 b=8.239 c=8.949 alpha=62.59 beta=62.59 gamma=60.00
Atoms (fractional coordinates):
Np1 0.498 0.001 0.002
S1 0.733 0.733 0.800
S2 0.242 0.690 0.827
S3 0.272 0.272 0.185
S4 0.242 0.242 0.827
Rb1 0.132 0.132 0.604
S5 0.296 0.756 0.193
Sr1 0.880 0.880 0.359
Rb2 0.498 0.498 0.507
S6 0.756 0.296 0.193
Np2 0.001 0.498 0.002
S7 0.690 0.242 0.827
Np3 0.498 0.498 0.002
S8 0.756 0.756 0.193

Results
Uncorrected formation energy   -1.35 eV per atom
Symmetry   R3m, No. 160

***

Entry 6:
Compound: InCoSn2
Source: Alexandria via LeMat-Bulk
Functional: GGA-PBE
Structure: optimized geometry

Unit cell a=3.166 b=3.166 c=8.640 alpha=90.00 beta=90.00 gamma=90.00
Atoms (fractional coordinates):
In1 0.500 0.500 0.500
Sn1 0.000 0.000 0.814
Co1 0.500 0.500 0.000
Sn2 0.000 0.000 0.186

Results
Symmetry   P4/mmm, No. 123
Formation energy from the elements   0.07 eV/atom

***

Entry 7:
Compound: Dy5ErTl3
Source: Alexandria via LeMat-Bulk
Functional: GGA-PBE
Structure: optimized geometry

Unit cell a=6.712 b=9.361 c=9.359 alpha=120.01 beta=90.00 gamma=90.00
Atoms (fractional coordinates):
Tl1 0.250 0.668 0.668
Tl2 0.250 0.333 0.000
Dy1 0.750 0.000 0.334
Tl3 0.750 0.000 0.668
Dy2 0.500 0.667 0.333
Er1 0.500 0.000 0.000
Dy3 0.250 0.334 0.334
Dy4 0.250 0.667 0.000
Dy5 0.750 0.666 0.666
Tl4 0.750 0.332 0.332
Dy6 0.000 0.333 0.667
Dy7 0.250 0.000 0.666
Tl5 0.250 0.000 0.332
Er2 0.000 0.000 0.000
Dy8 0.500 0.333 0.667
Dy9 0.000 0.667 0.333
Dy10 0.750 0.333 0.000
Tl6 0.750 0.667 0.000

Results
Symmetry   P6_3/mcm, No. 193
Formation energy from the elements   -0.26 eV/atom

***

Entry 8:
Compound: Pm2Y2Tm3
Source: Alexandria via LeMat-Bulk
Functional: GGA-PBE
Structure: optimized geometry

Unit cell a=6.518 b=10.833 c=6.466 alpha=90.00 beta=87.03 gamma=90.00
Atoms (fractional coordinates):
Tm1 0.039 0.459 0.747
Tm2 0.500 0.500 0.000
Y1 0.961 0.847 0.448
Y2 0.039 0.153 0.552
Tm3 0.461 0.959 0.253
Y3 0.461 0.653 0.448
Y4 0.539 0.347 0.552
Pm1 0.754 0.734 0.884
Tm4 0.000 0.000 0.000
Pm2 0.746 0.234 0.116
Pm3 0.254 0.766 0.884
Tm5 0.539 0.041 0.747
Tm6 0.961 0.541 0.253
Pm4 0.246 0.266 0.116

Results
Symmetry   P2_1/c, No. 14
Formation energy from the elements   0.18 eV/atom
Energy above the lowest structure with this stoichiometry   0.0 kJ/mol of atoms

***

Number 1: VASP energy -335.21 eV per cell. Number 2: VASP energy -71.02 eV per cell. Number 3: VASP energy -111.11 eV per cell. Number 4: VASP energy -47.40 eV per cell. Number 5: VASP energy -94.42 eV per cell. Number 6: VASP energy -17.57 eV per cell. Number 7: VASP energy -73.97 eV per cell. Number 8: VASP energy -69.13 eV per cell.